No. 1
The following is a PBE calculation of ScCuP2O after structural relaxation, from Alexandria via LeMat-Bulk.

Geometry as POSCAR:
```
ScCuP2O
1.0
4.633 0.000 0.000
0.000 4.633 0.000
0.000 0.000 3.640
Sc Cu P O
1 1 2 1
direct
0.000 0.000 0.000
0.500 0.500 0.500
0.000 0.500 0.500
0.500 0.000 0.500
0.500 0.500 0.000
```

Values from the calculation:
For the volume, the calculation gives 78 Å³/cell. The space group is P4/mmm, No. 123. The value obtained for the energy above the most stable polymorph in this dataset is 0.00 eV/f.u. The raw formation energy comes out at -140 meV per atom. Its spin magnetization is 0.0 μB per cell.

---

No. 2
The following is a PBE calculation of ScCuPO2 after structural relaxation, from Alexandria via LeMat-Bulk.

Geometry as POSCAR:
```
ScCuPO2
1.0
3.820 0.000 0.000
0.000 3.820 0.000
0.000 0.000 4.489
Sc Cu P O
1 1 1 2
direct
0.000 0.000 0.000
0.500 0.500 0.500
0.500 0.500 0.000
0.000 0.500 0.500
0.500 0.000 0.500
```

Values from the calculation:
For the volume, the calculation gives 66 Å³/cell. The space group is P4/mmm, No. 123. The value obtained for the energy above the most stable polymorph in this dataset is 0.43 eV/f.u. The raw formation energy comes out at -596 meV per atom. Its spin magnetization is 0.0 μB per cell.